No. 1
The following is a GGA-PBE calculation of a geometry-optimized Tb2CePaTc2 structure, from Alexandria.

Unit cell a=6.7859 b=6.8743 c=8.2280 alpha=114.69 beta=114.35 gamma=90.00
Closest atoms and distances in Å follow each position.
Fractional coordinates of all 12 atoms:
Tb 0.6918 0.9092 0.3837  1 Tc 2.91
Tb 0.1918 0.4745 0.3837  1 Tc 2.91
Tb 0.8082 0.5255 0.6163  1 Tc 2.91
Tb 0.3082 0.0908 0.6163  1 Tc 2.91
Ce 0.2500 0.0000 0.0000  4 Tc 2.80
Ce 0.7500 0.0000 0.0000  4 Tc 2.80
Pa 0.7500 0.5000 0.0000  4 Tc 2.62
Pa 0.2500 0.5000 0.0000  4 Tc 2.62
Tc 0.4084 0.6374 0.8167  2 Pa 2.62, 2 Ce 2.80, 1 Tb 2.91
Tc 0.5916 0.3626 0.1833  2 Pa 2.62, 2 Ce 2.80, 1 Tb 2.91
Tc 0.0916 0.8207 0.1833  2 Pa 2.62, 2 Ce 2.80, 1 Tb 2.91
Tc 0.9084 0.1793 0.8167  2 Pa 2.62, 2 Ce 2.80, 1 Tb 2.91

Output
For the energy of formation from the pure elements, the calculation gives -0.035 eV/atom. The raw total energy is -7.60 eV/atom. The space group is Ibam.

No. 2
The following is a GGA-PBE calculation of a geometry-optimized AsPtWSe2 structure, from Alexandria.

Unit cell a=4.8144 b=4.8144 c=4.9570 alpha=90.00 beta=90.00 gamma=90.00
Closest atoms and distances in Å follow each position.
Fractional coordinates of all 5 atoms:
As 0.0000 0.0000 0.5000  2 W 2.48
Se 0.0000 0.5000 0.0000  2 W 2.41
Se 0.5000 0.0000 0.0000  2 W 2.41
W 0.0000 0.0000 0.0000  4 Se 2.41, 2 As 2.48
Pt 0.5000 0.5000 0.5000  4 As 3.40, 8 Se 3.46

Output
For the distance to the lowest polymorph of the same formula, the calculation gives 0.000 eV per atom. The value obtained for the uncorrected formation energy is 0.824 eV/atom. The raw total energy is -5.30 eV/atom. The space group is P4/mmm.

No. 3
The following is a GGA-PBE calculation of a geometry-optimized La2Pm3Pr9 structure, from Alexandria.

Unit cell a=9.3494 b=9.3494 c=13.7911 alpha=90.00 beta=90.00 gamma=120.00
Closest atoms and distances in Å follow each position.
Fractional coordinates of all 28 atoms:
La 0.6667 0.3333 0.6367  1 La 3.13, 3 Pr 3.31
La 0.6667 0.3333 0.8633  1 La 3.13, 3 Pr 3.31
La 0.3333 0.6667 0.1367  1 La 3.13, 3 Pr 3.31
La 0.3333 0.6667 0.3633  1 La 3.13, 3 Pr 3.31
Pm 0.7519 0.8326 0.2500  4 Pr 3.27-3.58, 2 Pm 3.55
Pm 0.1674 0.9193 0.2500  4 Pr 3.27-3.58, 2 Pm 3.55
Pm 0.0807 0.2481 0.2500  4 Pr 3.27-3.58, 2 Pm 3.55
Pm 0.9193 0.7519 0.7500  4 Pr 3.27-3.58, 2 Pm 3.55
Pm 0.8326 0.0807 0.7500  4 Pr 3.27-3.58, 2 Pm 3.55
Pm 0.2481 0.1674 0.7500  4 Pr 3.27-3.58, 2 Pm 3.55
Pr 0.5195 0.6011 0.7500  2 Pm 3.27-3.55, 2 Pr 3.60
Pr 0.7237 0.5990 0.4617  1 La 3.31, 3 Pr 3.49-3.60, 1 Pm 3.58
Pr 0.7237 0.5990 0.0383  1 La 3.31, 3 Pr 3.49-3.60, 1 Pm 3.58
Pr 0.3989 0.9184 0.7500  2 Pm 3.27-3.55, 2 Pr 3.60
Pr 0.8753 0.2763 0.0383  1 La 3.31, 3 Pr 3.49-3.60, 1 Pm 3.58
Pr 0.8753 0.2763 0.4617  1 La 3.31, 3 Pr 3.49-3.60, 1 Pm 3.58
Pr 0.4010 0.1247 0.0383  1 La 3.31, 3 Pr 3.49-3.60, 1 Pm 3.58
Pr 0.4010 0.1247 0.4617  1 La 3.31, 3 Pr 3.49-3.60, 1 Pm 3.58
Pr 0.9184 0.5195 0.2500  2 Pm 3.27-3.55, 2 Pr 3.60
Pr 0.0816 0.4805 0.7500  2 Pm 3.27-3.55, 2 Pr 3.60
Pr 0.5990 0.8753 0.9617  1 La 3.31, 3 Pr 3.49-3.60, 1 Pm 3.58
Pr 0.5990 0.8753 0.5383  1 La 3.31, 3 Pr 3.49-3.60, 1 Pm 3.58
Pr 0.1247 0.7237 0.5383  1 La 3.31, 3 Pr 3.49-3.60, 1 Pm 3.58
Pr 0.1247 0.7237 0.9617  1 La 3.31, 3 Pr 3.49-3.60, 1 Pm 3.58
Pr 0.6011 0.0816 0.2500  2 Pm 3.27-3.55, 2 Pr 3.60
Pr 0.2763 0.4010 0.5383  1 La 3.31, 3 Pr 3.49-3.60, 1 Pm 3.58
Pr 0.2763 0.4010 0.9617  1 La 3.31, 3 Pr 3.49-3.60, 1 Pm 3.58
Pr 0.4805 0.3989 0.2500  2 Pm 3.27-3.55, 2 Pr 3.60

Output
For the energy of formation from the pure elements, the calculation gives 0.224 eV/atom. The raw total energy is -4.57 eV/atom. The space group is P6_3/m.

No. 4
The following is a GGA-PBE calculation of a geometry-optimized MnNi2PbN structure, from Alexandria.

Unit cell a=4.0153 b=4.0153 c=3.9736 alpha=90.00 beta=90.00 gamma=90.00
Closest atoms and distances in Å follow each position.
Fractional coordinates of all 5 atoms:
Pb 0.5000 0.5000 0.5000  8 Ni 2.82, 4 Mn 2.84
Ni 0.0000 0.5000 0.0000  2 N 2.01
Ni 0.5000 0.0000 0.0000  2 N 2.01
Mn 0.0000 0.0000 0.5000  2 N 1.99
N 0.0000 0.0000 0.0000  2 Mn 1.99, 4 Ni 2.01

Output
The value obtained for the uncorrected formation energy is 0.081 eV/atom. The raw total energy is -6.47 eV/atom. The space group is P4/mmm.